Record 1
Entry from Alexandria via LeMat-Bulk: an optimized crystal structure of K2MgIn10 (PBE-GGA).

Cell and atoms, written as POSCAR:
```
K2MgIn10
1.0
10.163 0.000 0.000
0.000 12.887 0.000
0.000 0.000 6.811
K Mg In
4 2 20
Direct
0.238 0.065 0.000
0.262 0.565 0.000
0.738 0.435 0.000
0.762 0.935 0.000
0.000 0.000 0.500
0.500 0.500 0.500
0.059 0.622 0.500
0.097 0.809 0.218
0.097 0.809 0.782
0.157 0.201 0.500
0.229 0.434 0.500
0.271 0.934 0.500
0.343 0.701 0.500
0.403 0.309 0.218
0.403 0.309 0.782
0.441 0.122 0.500
0.559 0.878 0.500
0.597 0.691 0.218
0.597 0.691 0.782
0.657 0.299 0.500
0.729 0.066 0.500
0.771 0.566 0.500
0.843 0.799 0.500
0.903 0.191 0.218
0.903 0.191 0.782
0.941 0.378 0.500
```

Output
Its calculated density is 4.66 g/cm³. As for the energy of formation from the pure elements: -0.003 eV per atom. As for the crystal system: orthorhombic. The symmetry is Pbam. As for the magnetization: 0.000 μB per formula unit. For the total energy, the calculation gives -2.401 eV/atom.

---

Record 2
Entry from Alexandria via LeMat-Bulk: an optimized crystal structure of MgTlPt (PBE-GGA).

Cell and atoms, written as POSCAR:
```
MgTlPt
1.0
-1.611 1.611 5.933
1.611 -1.611 5.933
1.611 1.611 -5.933
Mg Tl Pt
1 1 1
Direct
0.000 0.000 0.000
0.291 0.291 0.000
0.620 0.620 0.000
```

Output
Its calculated density is 11.42 g/cm³. As for the energy of formation from the pure elements: -0.307 eV per atom. As for the crystal system: tetragonal. The symmetry is I4mm. As for the magnetization: 0.000 μB per formula unit. For the total energy, the calculation gives -3.641 eV/atom.

---

Record 3
Entry from Alexandria via LeMat-Bulk: an optimized crystal structure of Sc3ZnTc (PBE-GGA).

Cell and atoms, written as POSCAR:
```
Sc3ZnTc
1.0
2.318 -9.007 0.000
2.318 9.007 0.000
0.000 0.000 4.649
Sc Zn Tc
6 2 2
Direct
0.070 0.930 0.750
0.250 0.750 0.750
0.428 0.572 0.750
0.572 0.428 0.250
0.750 0.250 0.250
0.930 0.070 0.250
0.341 0.659 0.250
0.659 0.341 0.750
0.154 0.846 0.250
0.846 0.154 0.750
```

Output
Its calculated density is 5.10 g/cm³. As for the energy of formation from the pure elements: -0.254 eV per atom. As for the crystal system: orthorhombic. The symmetry is Cmcm. As for the magnetization: 0.000 μB per formula unit. The energy above the most stable polymorph in this dataset is 0 kJ/mol of formula units. For the total energy, the calculation gives -6.381 eV/atom.

---

Record 4
Entry from Alexandria via LeMat-Bulk: an optimized crystal structure of Ba3GaSe4Cl (PBE-GGA).

Cell and atoms, written as POSCAR:
```
Ba3GaSe4Cl
1.0
12.971 0.000 0.000
0.000 9.986 0.000
0.000 0.000 8.875
Ba Ga Se Cl
12 4 16 4
Direct
0.007 0.250 0.079
0.170 0.021 0.574
0.170 0.479 0.574
0.330 0.521 0.074
0.330 0.979 0.074
0.493 0.750 0.579
0.507 0.250 0.421
0.670 0.021 0.926
0.670 0.479 0.926
0.830 0.521 0.426
0.830 0.979 0.426
0.993 0.750 0.921
0.111 0.750 0.314
0.389 0.250 0.814
0.611 0.750 0.186
0.889 0.250 0.686
0.009 0.750 0.542
0.078 0.542 0.189
0.078 0.958 0.189
0.205 0.250 0.861
0.295 0.750 0.361
0.422 0.042 0.689
0.422 0.458 0.689
0.491 0.250 0.042
0.509 0.750 0.958
0.578 0.542 0.311
0.578 0.958 0.311
0.705 0.250 0.639
0.795 0.750 0.139
0.922 0.042 0.811
0.922 0.458 0.811
0.991 0.250 0.458
0.229 0.750 0.846
0.271 0.250 0.346
0.729 0.750 0.654
0.771 0.250 0.154
```

Output
Its calculated density is 4.81 g/cm³. As for the formation energy from raw total energies: -1756 meV per atom. As for the crystal system: orthorhombic. The symmetry is Pnma. As for the magnetization: 0.000 μB per formula unit. For the total energy, the calculation gives -4.487 eV/atom.